No. 1
Here is a PBEsol-optimized structure of ScCd4Ag from the Alexandria database. Energies are from SCAN.

extended XYZ file:
```
6
Lattice="5.5830 0.0000 0.0000 2.7915 4.8350 0.0000 2.7915 1.6117 4.5585" Properties=species:S:1:pos:R:3 pbc="T T T"
Cd 5.5830 4.8335 1.7099
Ag 0.0000 0.0000 0.0000
Cd 5.5830 3.2233 3.9871
Cd 4.1885 2.4182 1.7099
Sc 8.3744 4.8350 3.4189
Cd 6.9775 2.4182 1.7099
```

Properties
- space-group type = F-43m
- formation energy (eV/atom) = -0.022

No. 2
Here is a PBEsol-optimized structure of ScCdAg from the Alexandria database. Energies are from SCAN.

extended XYZ file:
```
3
Lattice="3.1977 0.0000 0.0000 0.0000 4.0014 0.0000 -1.5989 -2.0007 4.4627" Properties=species:S:1:pos:R:3 pbc="T T T"
Ag 1.5989 2.0007 4.4474
Sc 1.5989 2.0007 1.4757
Cd 0.0000 0.0000 3.0022
```

Properties
- space-group type = Imm2
- formation energy (eV/atom) = -0.282

No. 3
Here is a PBEsol-optimized structure of ScCd2Ag from the Alexandria database. Energies are from SCAN.

extended XYZ file:
```
4
Lattice="4.7361 0.0000 0.0000 -2.3681 4.1374 0.0521 0.0000 2.6614 3.9176" Properties=species:S:1:pos:R:3 pbc="T T T"
Cd 0.0000 2.7341 1.0055
Sc 2.3681 1.3307 1.9588
Cd 0.0000 0.0000 0.0000
Ag 2.3681 4.0648 2.9643
```

Properties
- space-group type = I-4m2
- formation energy (eV/atom) = -0.283

No. 4
Here is a PBEsol-optimized structure of Sc3CdAg from the Alexandria database. Energies are from SCAN.

extended XYZ file:
```
5
Lattice="-4.0044 -0.5860 -3.2433 -3.1224 -0.9592 4.0284 -1.0550 5.0630 0.3878" Properties=species:S:1:pos:R:3 pbc="T T T"
Sc -1.5612 -0.4796 2.0142
Sc -0.5275 2.5315 0.1939
Sc -2.0022 -0.2930 -1.6216
Ag -4.0909 1.7589 0.5865
Cd 0.0000 0.0000 0.0000
```

Properties
- space-group type = Pm-3m
- formation energy (eV/atom) = 0.579

No. 5
Here is a PBEsol-optimized structure of ScCd2Ag from the Alexandria database. Energies are from SCAN.

extended XYZ file:
```
4
Lattice="3.4173 0.0000 0.0000 0.0000 3.4173 0.0000 0.0000 0.0000 6.6978" Properties=species:S:1:pos:R:3 pbc="T T T"
Cd 0.0000 0.0000 6.6160
Sc 0.0000 0.0000 3.4470
Cd 1.7087 1.7087 1.6801
Ag 1.7087 1.7087 5.0014
```

Properties
- space-group type = P4mm
- formation energy (eV/atom) = -0.226

No. 6
Here is a PBEsol-optimized structure of ScCdAg from the Alexandria database. Energies are from SCAN.

extended XYZ file:
```
3
Lattice="3.0228 0.0000 0.0000 0.0000 4.7162 0.0000 0.0000 -2.3581 4.0844" Properties=species:S:1:pos:R:3 pbc="T T T"
Cd 2.5198 0.0000 2.7229
Sc 1.0079 2.3581 1.3615
Ag 2.5180 0.0000 0.0000
```

Properties
- space-group type = P-6m2
- formation energy (eV/atom) = -0.283

No. 7
Here is a PBEsol-optimized structure of ScCdAg from the Alexandria database. Energies are from SCAN.

extended XYZ file:
```
3
Lattice="3.5560 0.0000 0.0000 0.0000 3.5560 0.0000 -1.7780 -1.7780 4.5408" Properties=species:S:1:pos:R:3 pbc="T T T"
Cd 0.0000 0.0000 3.0653
Sc 1.7780 1.7780 1.4947
Ag 1.7780 1.7780 4.5216
```

Properties
- space-group type = I4mm
- formation energy (eV/atom) = -0.283

No. 8
Here is a PBEsol-optimized structure of ScCd2Ag from the Alexandria database. Energies are from SCAN.

extended XYZ file:
```
4
Lattice="-2.9733 -0.8894 1.1323 0.5049 -3.0845 -1.0969 2.9057 -1.7491 6.2560" Properties=species:S:1:pos:R:3 pbc="T T T"
Cd 0.7815 -0.4704 1.6825
Ag 0.2186 -2.8615 3.1457
Cd 2.1242 -1.2787 4.5734
Sc -1.2342 -1.9869 0.0177
```

Properties
- space-group type = P4/mmm
- formation energy (eV/atom) = -0.229

No. 9
Here is a PBEsol-optimized structure of CdAgSe2 from the Alexandria database. Energies are from SCAN.

extended XYZ file:
```
4
Lattice="3.8836 0.0000 0.0000 1.9418 4.8423 0.2193 1.9418 0.3366 4.8355" Properties=species:S:1:pos:R:3 pbc="T T T"
Cd 1.9418 0.0000 0.0000
Se 3.8836 3.8363 3.7445
Se 3.8836 1.3425 1.3104
Ag 1.9418 2.5894 2.5274
```

Properties
- space-group type = Immm
- final energy (eV per atom) = -25.531

No. 10
Here is a PBEsol-optimized structure of CdAg2Se from the Alexandria database. Energies are from SCAN.

extended XYZ file:
```
4
Lattice="3.5915 0.0000 0.0000 0.0000 3.5915 0.0000 0.0000 0.0000 5.7402" Properties=species:S:1:pos:R:3 pbc="T T T"
Cd 1.7957 1.7957 0.0000
Ag 0.0000 0.0000 1.4207
Ag 0.0000 0.0000 4.3195
Se 1.7957 1.7957 2.8701
```

Properties
- energy above the most stable polymorph in this dataset (kJ per mole of atoms) = 0.00
- space-group type = P4/mmm

No. 11
Here is a PBEsol-optimized structure of CdAgSe2 from the Alexandria database. Energies are from SCAN.

extended XYZ file:
```
4
Lattice="3.9028 0.0000 0.0000 0.0000 3.9028 0.0000 0.0000 0.0000 5.5061" Properties=species:S:1:pos:R:3 pbc="T T T"
Ag 1.9514 1.9514 0.0000
Se 1.9514 1.9514 2.7531
Se 0.0000 0.0000 0.0000
Cd 0.0000 0.0000 2.7531
```

Properties
- space-group type = P4/mmm
- final energy (eV per atom) = -25.780

No. 12
Here is a PBEsol-optimized structure of CdAgSe2 from the Alexandria database. Energies are from SCAN.

extended XYZ file:
```
4
Lattice="-1.1296 2.3237 2.7711 0.6192 -3.4583 3.1524 4.1010 2.3210 -0.2746" Properties=species:S:1:pos:R:3 pbc="T T T"
Ag -0.5648 1.1619 1.3856
Se 0.3096 -1.7291 1.5762
Se 2.0505 1.1605 -0.1373
Cd 1.7953 0.5932 2.8244
```

Properties
- space-group type = Cmmm
- final energy (eV per atom) = -25.472

Question: Which formula does entry 4 have?
Answer: Sc3CdAg